# 1
Entry from Alexandria via LeMat-Bulk: CdI after structural relaxation (PBE-GGA).

Unit cell a=4.2814 b=6.2451 c=12.5933 alpha=90.00 beta=90.00 gamma=90.00
Sites, in units of the cell vectors:
Cd 0.0000 0.2154 0.0000
Cd 0.0000 0.2846 0.5000
Cd 0.0000 0.7154 0.5000
Cd 0.0000 0.7846 0.0000
I 0.0000 0.0000 0.3191
I 0.0000 0.5000 0.8191
I 0.5000 0.0000 0.6181
I 0.5000 0.5000 0.1181

crystal system: orthorhombic
total energy: -12.78 eV/cell
total moment: 0.00 μB per formula unit
formation energy without anion corrections: -0.7 eV/f.u.

# 2
Entry from Alexandria via LeMat-Bulk: CdI2 after structural relaxation (PBE-GGA).

Unit cell a=4.3160 b=4.3160 c=60.2509 alpha=90.00 beta=90.00 gamma=120.00
Sites, in units of the cell vectors:
Cd 0.0000 0.0000 0.0000
Cd 0.0000 0.0000 0.1250
Cd 0.0000 0.0000 0.2500
Cd 0.0000 0.0000 0.3749
Cd 0.0000 0.0000 0.4998
Cd 0.0000 0.0000 0.7500
Cd 0.6667 0.3333 0.6250
Cd 0.6667 0.3333 0.8750
I 0.0000 0.0000 0.5963
I 0.0000 0.0000 0.8463
I 0.3333 0.6667 0.0287
I 0.3333 0.6667 0.1537
I 0.3333 0.6667 0.2787
I 0.3333 0.6667 0.4036
I 0.3333 0.6667 0.5285
I 0.3333 0.6667 0.6537
I 0.3333 0.6667 0.7787
I 0.3333 0.6667 0.9037
I 0.6667 0.3333 0.0963
I 0.6667 0.3333 0.2212
I 0.6667 0.3333 0.3462
I 0.6667 0.3333 0.4711
I 0.6667 0.3333 0.7213
I 0.6667 0.3333 0.9713

crystal system: trigonal
total energy: -45.80 eV/cell
total moment: 0.00 μB per formula unit
formation energy without anion corrections: -1.7 eV/f.u.
Fermi-level density of states: 0.0 states/eV/f.u.

# 3
Entry from Alexandria via LeMat-Bulk: CdI2 after structural relaxation (PBE-GGA).

Unit cell a=4.3160 b=4.3160 c=45.0822 alpha=90.00 beta=90.00 gamma=120.00
Sites, in units of the cell vectors:
Cd 0.0000 0.0000 0.0000
Cd 0.0000 0.0000 0.1665
Cd 0.0000 0.0000 0.3333
Cd 0.0000 0.0000 0.5000
Cd 0.0000 0.0000 0.6666
Cd 0.3333 0.6667 0.8333
I 0.0000 0.0000 0.8716
I 0.3333 0.6667 0.0384
I 0.3333 0.6667 0.2048
I 0.3333 0.6667 0.3716
I 0.3333 0.6667 0.5384
I 0.3333 0.6667 0.7049
I 0.6667 0.3333 0.1281
I 0.6667 0.3333 0.2949
I 0.6667 0.3333 0.4617
I 0.6667 0.3333 0.6282
I 0.6667 0.3333 0.7949
I 0.6667 0.3333 0.9616

crystal system: trigonal
total energy: -34.35 eV/cell
total moment: 0.00 μB per formula unit
formation energy without anion corrections: -1.7 eV/f.u.
Fermi-level density of states: 0.0 states/eV/f.u.